First-principles (PBE) data for an optimized crystal structure of UTi2Zn, as listed in the Alexandria database.

Summary:
DOS at the Fermi energy (states/eV/cell): 7.2
Energy relative to the lowest polymorph listed for this composition (meV/atom): 0.0
Formation energy from the elements (meV per atom): 62
Magnetic moment (μB per cell): 1.5
Symmetry: P4/mmm, No. 123

abc: 3.0091 4.7852 4.7852
angles: 90.00 90.00 90.00
Site moments in Bohr magnetons follow the coordinates.
Fractional positions:
Ti1 0.0000 0.0000 0.5000  0.09
Ti2 0.0000 0.5000 0.0000  0.09
Zn1 0.5000 0.5000 0.5000  -0.01
U1 0.5000 0.0000 0.0000  1.26